Arrangement 1

## Pr2PuN3 (GGA-PBE)

Data for an optimized crystal structure of Pr2PuN3.

The space group is Immm (No. 71) and the conventional cell measures 3.594, 5.126 and 10.833 Å, with angles of 90.00, 90.00 and 90.00 degrees. The inequivalent atoms are Pr at (0.000, 0.000, 0.165), Pu at (0.000, 0.000, 0.500), N at (0.000, 0.500, 0.145) and N at (0.000, 0.500, 0.500).

=====

Arrangement 2

## Pr2PuN3 (GGA-PBE)

Data for an optimized crystal structure of Pr2PuN3.

The space group is Cmmm (No. 65) and the conventional cell measures 5.144, 11.442 and 3.639 Å, with angles of 90.00, 90.00 and 90.00 degrees. The inequivalent atoms are Pr at (0.000, 0.150, 0.000), Pu at (0.000, 0.500, 0.500), N at (0.000, 0.000, 0.500) and N at (0.000, 0.371, 0.000).

=====

The least stable of them is arrangement 2.

=====

Arrangement 1

## Pr3PuN4 (GGA-PBE)

Data for an optimized crystal structure of Pr3PuN4.

The space group is Cmmm (No. 65) and the conventional cell measures 7.267, 10.230 and 3.633 Å, with angles of 90.00, 90.00 and 90.00 degrees. The inequivalent atoms are Pr at (0.000, 0.000, 0.000), Pr at (0.250, 0.250, 0.500), Pu at (0.000, 0.500, 0.000), N at (0.000, 0.263, 0.000) and N at (0.230, 0.500, 0.500).

=====

Arrangement 2

## Pr3PuN4 (GGA-PBE)

Data for an optimized crystal structure of Pr3PuN4.

The space group is P4/mmm (No. 123) and the conventional cell measures 3.643, 3.643 and 10.246 Å, with angles of 90.00, 90.00 and 90.00 degrees. The inequivalent atoms are Pr at (0.000, 0.000, 0.000), Pr at (0.500, 0.500, 0.253), Pu at (0.000, 0.000, 0.500), N at (0.000, 0.000, 0.271), N at (0.500, 0.500, 0.000) and N at (0.500, 0.500, 0.500).

=====

The least stable of them is arrangement 2.

=====

Arrangement 1

## Pr2Re2N5 (GGA-PBE)

Data for an optimized crystal structure of Pr2Re2N5.

The space group is Ima2 (No. 46) and the conventional cell measures 15.659, 5.622 and 5.611 Å, with angles of 90.00, 90.00 and 90.00 degrees. The inequivalent atoms are Pr at (0.117, 0.004, 0.000), Re at (0.000, 0.000, 0.501), Re at (0.250, 0.522, 0.004), N at (0.013, 0.749, 0.251), N at (0.130, 0.050, 0.500) and N at (0.250, 0.728, 0.274).

=====

Arrangement 2

## Pr2Re2N5 (GGA-PBE)

Data for an optimized crystal structure of Pr2Re2N5.

The space group is P4/mmm (No. 123) and the conventional cell measures 3.971, 3.971 and 7.547 Å, with angles of 90.00, 90.00 and 90.00 degrees. The inequivalent atoms are Pr at (0.000, 0.000, 0.000), Pr at (0.000, 0.000, 0.500), Re at (0.500, 0.500, 0.242), N at (0.000, 0.500, 0.226) and N at (0.500, 0.500, 0.500).

=====

The least stable of them is arrangement 1.

=====

Arrangement 1

## Pr4S3N2 (GGA-PBE)

Data for an optimized crystal structure of Pr4S3N2.

The space group is C2/c (No. 15) and the conventional cell measures 18.085, 9.993 and 12.853 Å, with angles of 90.00, 134.51 and 90.00 degrees. The inequivalent atoms are Pr at (0.092, 0.206, 0.184), Pr at (0.117, 0.195, 0.745), Pr at (0.136, 0.447, 0.525), Pr at (0.177, 0.040, 0.563), S at (0.000, 0.021, 0.250), S at (0.100, 0.497, 0.224), S at (0.139, 0.249, 0.008), S at (0.250, 0.250, 0.500), N at (0.084, 0.230, 0.537) and N at (0.191, 0.007, 0.255).

=====

Arrangement 2

## Pr4S3N2 (GGA-PBE)

Data for an optimized crystal structure of Pr4S3N2.

The space group is C2/m (No. 12) and the conventional cell measures 13.611, 4.034 and 10.420 Å, with angles of 90.00, 129.10 and 90.00 degrees. The inequivalent atoms are Pr at (0.064, 0.000, 0.357), Pr at (0.246, 0.500, 0.853), S at (0.000, 0.500, 0.500), S at (0.169, 0.500, 0.281) and N at (0.147, 0.000, 0.860).

=====

The least stable of them is arrangement 1.

=====

Arrangement 1

## Pr3SN2 (GGA-PBE)

Data for an optimized crystal structure of Pr3SN2.

The space group is Cmcm (No. 63) and the conventional cell measures 8.957, 12.732 and 5.990 Å, with angles of 90.00, 90.00 and 90.00 degrees. The inequivalent atoms are Pr at (0.000, 0.090, 0.250), Pr at (0.232, 0.389, 0.250), S at (0.000, 0.238, 0.750) and N at (0.171, 0.000, 0.000).

=====

Arrangement 2

## Pr3SN2 (GGA-PBE)

Data for an optimized crystal structure of Pr3SN2.

The space group is Cmcm (No. 63) and the conventional cell measures 3.899, 13.054 and 10.168 Å, with angles of 90.00, 90.00 and 90.00 degrees. The inequivalent atoms are Pr at (0.000, 0.070, 0.250), Pr at (0.000, 0.378, 0.068), S at (0.000, 0.252, 0.750), N at (0.000, 0.000, 0.000) and N at (0.000, 0.473, 0.250).

=====

The least stable of them is arrangement 1.

=====

Arrangement 1

## PrSeN (GGA-PBE)

Data for an optimized crystal structure of PrSeN.

The space group is P2_1/c (No. 14) and the conventional cell measures 9.017, 4.199 and 8.517 Å, with angles of 90.00, 103.52 and 90.00 degrees. The inequivalent atoms are Pr at (0.162, 0.245, 0.416), Se at (0.183, 0.749, 0.671) and N at (0.443, 0.067, 0.486).

=====

Arrangement 2

## PrSeN (GGA-PBE)

Data for an optimized crystal structure of PrSeN.

The space group is C2/m (No. 12) and the conventional cell measures 7.477, 4.215 and 10.080 Å, with angles of 90.00, 91.25 and 90.00 degrees. The inequivalent atoms are Pr at (0.147, 0.000, 0.331), Se at (0.201, 0.000, 0.816) and N at (0.071, 0.500, 0.532).

=====

The least stable of them is arrangement 2.

=====

Arrangement 1

## Pr3SeN2 (GGA-PBE)

Data for an optimized crystal structure of Pr3SeN2.

The space group is Cmcm (No. 63) and the conventional cell measures 9.031, 12.685 and 5.962 Å, with angles of 90.00, 90.00 and 90.00 degrees. The inequivalent atoms are Pr at (0.000, 0.089, 0.250), Pr at (0.225, 0.392, 0.250), Se at (0.000, 0.254, 0.750) and N at (0.170, 0.000, 0.000).

=====

Arrangement 2

## Pr3SeN2 (GGA-PBE)

Data for an optimized crystal structure of Pr3SeN2.

The space group is Cmcm (No. 63) and the conventional cell measures 3.953, 13.392 and 10.132 Å, with angles of 90.00, 90.00 and 90.00 degrees. The inequivalent atoms are Pr at (0.000, 0.062, 0.250), Pr at (0.000, 0.379, 0.064), Se at (0.000, 0.255, 0.750), N at (0.000, 0.000, 0.000) and N at (0.000, 0.469, 0.250).

=====

The least stable of them is arrangement 1.

=====

Arrangement 1

## Pr2SeN (GGA-PBE)

Data for an optimized crystal structure of Pr2SeN.

The space group is R-3m (No. 166, hexagonal axes) and the conventional cell measures 3.8644, 3.8644 and 20.5863 Å, with angles of 90.00, 90.00 and 120.00 degrees. The inequivalent atoms are Pr at (0.0000, 0.0000, 0.2341), Se at (0.0000, 0.0000, 0.0000) and N at (0.0000, 0.0000, 0.5000).

=====

Arrangement 2

## Pr2SeN (GGA-PBE)

Data for an optimized crystal structure of Pr2SeN.

The space group is R3m (No. 160, hexagonal axes) and the conventional cell measures 3.7945, 3.7945 and 21.6224 Å, with angles of 90.00, 90.00 and 120.00 degrees. The inequivalent atoms are Pr at (0.0000, 0.0000, 0.0000), Pr at (0.0000, 0.0000, 0.1443), Se at (0.0000, 0.0000, 0.5715) and N at (0.0000, 0.0000, 0.3987).

=====

The least stable of them is arrangement 2.

=====

Arrangement 1

## Pr2SiN3 (GGA-PBE)

Data for an optimized crystal structure of Pr2SiN3.

The space group is Cmce (No. 64) and the conventional cell measures 5.439, 10.920 and 11.906 Å, with angles of 90.00, 90.00 and 90.00 degrees. The inequivalent atoms are Pr at (0.000, 0.061, 0.141), Pr at (0.000, 0.139, 0.575), Si at (0.000, 0.240, 0.336), N at (0.000, 0.080, 0.367), N at (0.000, 0.154, 0.947) and N at (0.250, 0.233, 0.750).

=====

Arrangement 2

## Pr2SiN3 (GGA-PBE)

Data for an optimized crystal structure of Pr2SiN3.

The space group is Immm (No. 71) and the conventional cell measures 3.651, 3.808 and 12.346 Å, with angles of 90.00, 90.00 and 90.00 degrees. The inequivalent atoms are Pr at (0.000, 0.000, 0.146), Si at (0.000, 0.000, 0.500), N at (0.000, 0.000, 0.348) and N at (0.000, 0.500, 0.500).

=====

The least stable of them is arrangement 2.

=====

Arrangement 1

## Pr4SmN4 (GGA-PBE)

Data for an optimized crystal structure of Pr4SmN4.

The space group is I-42m (No. 121) and the conventional cell measures 6.019, 6.019 and 11.164 Å, with angles of 90.00, 90.00 and 90.00 degrees. The inequivalent atoms are Pr at (0.000, 0.000, 0.213), Pr at (0.000, 0.500, 0.000), Sm at (0.000, 0.000, 0.500) and N at (0.232, 0.232, 0.619).

=====

Arrangement 2

## Pr4SmN4 (GGA-PBE)

Data for an optimized crystal structure of Pr4SmN4.

The space group is C2/m (No. 12) and the conventional cell measures 12.244, 3.666 and 9.120 Å, with angles of 90.00, 120.16 and 90.00 degrees. The inequivalent atoms are Pr at (0.106, 0.000, 0.383), Pr at (0.205, 0.500, 0.813), Sm at (0.000, 0.500, 0.000), N at (0.102, 0.000, 0.907) and N at (0.195, 0.500, 0.301).

=====

The least stable of them is arrangement 1.